P.
# PBE RbPN2F, optimized geometry
data_RbPN2F
_cell_length_a 3.4720
_cell_length_b 3.4720
_cell_length_c 5.5899
_cell_angle_alpha 90.00
_cell_angle_beta 90.00
_cell_angle_gamma 90.00
_space_group_name_H-M_alt 'P 1'
_space_group_IT_number 1
loop_
_space_group_symop_operation_xyz
'x,y,z'
loop_
_atom_site_label
_atom_site_type_symbol
_atom_site_fract_x
_atom_site_fract_y
_atom_site_fract_z
P1 P 0.0000 0.0000 0.0000
N1 N 0.0000 0.5000 0.0000
N2 N 0.5000 0.0000 0.0000
Rb1 Rb 0.5000 0.5000 0.5000
F1 F 0.0000 0.0000 0.5000
# Total moment, Bohr magnetons per cell: 0.58
# Volume, Å³ per atom: 13.48
# Crystal system: tetragonal


Q.
# PBE RbPN2F, optimized geometry
data_RbPN2F
_cell_length_a 5.8334
_cell_length_b 5.8334
_cell_length_c 4.9705
_cell_angle_alpha 90.00
_cell_angle_beta 90.00
_cell_angle_gamma 90.00
_space_group_name_H-M_alt 'P 1'
_space_group_IT_number 1
loop_
_space_group_symop_operation_xyz
'x,y,z'
loop_
_atom_site_label
_atom_site_type_symbol
_atom_site_fract_x
_atom_site_fract_y
_atom_site_fract_z
P1 P 0.5000 0.5000 0.5000
N1 N 0.0000 0.5000 0.0000
N2 N 0.5000 0.0000 0.0000
Rb1 Rb 0.0000 0.0000 0.0000
F1 F 0.0000 0.0000 0.5000
# Total moment, Bohr magnetons per cell: 3.00
# Volume, Å³ per atom: 33.83
# Crystal system: tetragonal


Stability verdict: P, ahead by 2.044 eV/atom


P.
# PBE PSN2F, optimized geometry
data_PSN2F
_cell_length_a 3.2700
_cell_length_b 3.2700
_cell_length_c 5.4591
_cell_angle_alpha 90.00
_cell_angle_beta 90.00
_cell_angle_gamma 90.00
_space_group_name_H-M_alt 'P 1'
_space_group_IT_number 1
loop_
_space_group_symop_operation_xyz
'x,y,z'
loop_
_atom_site_label
_atom_site_type_symbol
_atom_site_fract_x
_atom_site_fract_y
_atom_site_fract_z
P1 P 0.0000 0.0000 0.0000
S1 S 0.0000 0.0000 0.5000
N1 N 0.0000 0.5000 0.0000
N2 N 0.5000 0.0000 0.0000
F1 F 0.5000 0.5000 0.5000
# Total moment, Bohr magnetons per cell: 0.00
# Volume, Å³ per atom: 11.67
# Crystal system: tetragonal


Q.
# PBE PSN2F, optimized geometry
data_PSN2F
_cell_length_a 3.6115
_cell_length_b 3.6115
_cell_length_c 3.6546
_cell_angle_alpha 90.00
_cell_angle_beta 90.00
_cell_angle_gamma 90.00
_space_group_name_H-M_alt 'P 1'
_space_group_IT_number 1
loop_
_space_group_symop_operation_xyz
'x,y,z'
loop_
_atom_site_label
_atom_site_type_symbol
_atom_site_fract_x
_atom_site_fract_y
_atom_site_fract_z
P1 P 0.0000 0.0000 0.0000
S1 S 0.5000 0.5000 0.5000
N1 N 0.0000 0.5000 0.0000
N2 N 0.5000 0.0000 0.0000
F1 F 0.0000 0.0000 0.5000
# Total moment, Bohr magnetons per cell: 0.00
# Volume, Å³ per atom: 9.53
# Crystal system: tetragonal


Stability verdict: P, ahead by 0.146 eV/atom


P.
# PBE PSN2F, optimized geometry
data_PSN2F
_cell_length_a 3.7183
_cell_length_b 3.7183
_cell_length_c 3.8604
_cell_angle_alpha 90.00
_cell_angle_beta 90.00
_cell_angle_gamma 90.00
_space_group_name_H-M_alt 'P 1'
_space_group_IT_number 1
loop_
_space_group_symop_operation_xyz
'x,y,z'
loop_
_atom_site_label
_atom_site_type_symbol
_atom_site_fract_x
_atom_site_fract_y
_atom_site_fract_z
P1 P 0.5000 0.5000 0.5000
S1 S 0.0000 0.0000 0.0000
N1 N 0.0000 0.5000 0.0000
N2 N 0.5000 0.0000 0.0000
F1 F 0.0000 0.0000 0.5000
# Total moment, Bohr magnetons per cell: 0.00
# Volume, Å³ per atom: 10.67
# Crystal system: tetragonal


Q.
# PBE PSN2F, optimized geometry
data_PSN2F
_cell_length_a 3.6492
_cell_length_b 3.6492
_cell_length_c 6.2697
_cell_angle_alpha 90.00
_cell_angle_beta 90.00
_cell_angle_gamma 90.00
_space_group_name_H-M_alt 'P 1'
_space_group_IT_number 1
loop_
_space_group_symop_operation_xyz
'x,y,z'
loop_
_atom_site_label
_atom_site_type_symbol
_atom_site_fract_x
_atom_site_fract_y
_atom_site_fract_z
P1 P 0.5000 0.5000 0.5000
S1 S 0.0000 0.0000 0.5000
N1 N 0.0000 0.5000 0.0000
N2 N 0.5000 0.0000 0.0000
F1 F 0.0000 0.0000 0.0000
# Total moment, Bohr magnetons per cell: 3.01
# Volume, Å³ per atom: 16.70
# Crystal system: tetragonal


Stability verdict: P, ahead by 0.850 eV/atom


P.
# PBE PS2NF, optimized geometry
data_PS2NF
_cell_length_a 4.6939
_cell_length_b 4.6939
_cell_length_c 3.1707
_cell_angle_alpha 90.00
_cell_angle_beta 90.00
_cell_angle_gamma 90.00
_space_group_name_H-M_alt 'P 1'
_space_group_IT_number 1
loop_
_space_group_symop_operation_xyz
'x,y,z'
loop_
_atom_site_label
_atom_site_type_symbol
_atom_site_fract_x
_atom_site_fract_y
_atom_site_fract_z
P1 P 0.0000 0.0000 0.0000
S1 S 0.0000 0.5000 0.0000
S2 S 0.5000 0.0000 0.0000
N1 N 0.0000 0.0000 0.5000
F1 F 0.5000 0.5000 0.5000
# Total moment, Bohr magnetons per cell: 0.71
# Volume, Å³ per atom: 13.97
# Crystal system: tetragonal


Q.
# PBE PS2NF, optimized geometry
data_PS2NF
_cell_length_a 4.8866
_cell_length_b 4.8866
_cell_length_c 3.7863
_cell_angle_alpha 90.00
_cell_angle_beta 90.00
_cell_angle_gamma 90.00
_space_group_name_H-M_alt 'P 1'
_space_group_IT_number 1
loop_
_space_group_symop_operation_xyz
'x,y,z'
loop_
_atom_site_label
_atom_site_type_symbol
_atom_site_fract_x
_atom_site_fract_y
_atom_site_fract_z
P1 P 0.0000 0.0000 0.5000
S1 S 0.0000 0.5000 0.0000
S2 S 0.5000 0.0000 0.0000
N1 N 0.5000 0.5000 0.5000
F1 F 0.0000 0.0000 0.0000
# Total moment, Bohr magnetons per cell: 2.40
# Volume, Å³ per atom: 18.08
# Crystal system: tetragonal


R.
# PBE PS2NF, optimized geometry
data_PS2NF
_cell_length_a 4.0264
_cell_length_b 4.0264
_cell_length_c 4.2105
_cell_angle_alpha 90.00
_cell_angle_beta 90.00
_cell_angle_gamma 90.00
_space_group_name_H-M_alt 'P 1'
_space_group_IT_number 1
loop_
_space_group_symop_operation_xyz
'x,y,z'
loop_
_atom_site_label
_atom_site_type_symbol
_atom_site_fract_x
_atom_site_fract_y
_atom_site_fract_z
P1 P 0.0000 0.0000 0.5000
S1 S 0.0000 0.5000 0.0000
S2 S 0.5000 0.0000 0.0000
N1 N 0.0000 0.0000 0.0000
F1 F 0.5000 0.5000 0.5000
# Total moment, Bohr magnetons per cell: 0.00
# Volume, Å³ per atom: 13.65
# Crystal system: tetragonal


Stability verdict: P, ahead by 0.329 eV/atom


P.
# PBE SbPNF2, optimized geometry
data_SbPNF2
_cell_length_a 4.3168
_cell_length_b 4.3168
_cell_length_c 4.3083
_cell_angle_alpha 90.00
_cell_angle_beta 90.00
_cell_angle_gamma 90.00
_space_group_name_H-M_alt 'P 1'
_space_group_IT_number 1
loop_
_space_group_symop_operation_xyz
'x,y,z'
loop_
_atom_site_label
_atom_site_type_symbol
_atom_site_fract_x
_atom_site_fract_y
_atom_site_fract_z
Sb1 Sb 0.0000 0.0000 0.0000
N1 N 0.0000 0.0000 0.5000
F1 F 0.0000 0.5000 0.0000
F2 F 0.5000 0.0000 0.0000
P1 P 0.5000 0.5000 0.5000
# Total moment, Bohr magnetons per cell: 1.74
# Volume, Å³ per atom: 16.06
# Crystal system: tetragonal


Q.
# PBE SbPNF2, optimized geometry
data_SbPNF2
_cell_length_a 4.7563
_cell_length_b 4.7563
_cell_length_c 3.2623
_cell_angle_alpha 90.00
_cell_angle_beta 90.00
_cell_angle_gamma 90.00
_space_group_name_H-M_alt 'P 1'
_space_group_IT_number 1
loop_
_space_group_symop_operation_xyz
'x,y,z'
loop_
_atom_site_label
_atom_site_type_symbol
_atom_site_fract_x
_atom_site_fract_y
_atom_site_fract_z
Sb1 Sb 0.5000 0.5000 0.5000
N1 N 0.0000 0.0000 0.5000
F1 F 0.0000 0.5000 0.0000
F2 F 0.5000 0.0000 0.0000
P1 P 0.0000 0.0000 0.0000
# Total moment, Bohr magnetons per cell: 0.00
# Volume, Å³ per atom: 14.76
# Crystal system: tetragonal


Stability verdict: Q, ahead by 0.248 eV/atom


P.
# PBE ScPNF2, optimized geometry
data_ScPNF2
_cell_length_a 3.9226
_cell_length_b 3.9226
_cell_length_c 4.6446
_cell_angle_alpha 90.00
_cell_angle_beta 90.00
_cell_angle_gamma 90.00
_space_group_name_H-M_alt 'P 1'
_space_group_IT_number 1
loop_
_space_group_symop_operation_xyz
'x,y,z'
loop_
_atom_site_label
_atom_site_type_symbol
_atom_site_fract_x
_atom_site_fract_y
_atom_site_fract_z
Sc1 Sc 0.0000 0.0000 0.0000
P1 P 0.5000 0.5000 0.5000
N1 N 0.0000 0.0000 0.5000
F1 F 0.0000 0.5000 0.0000
F2 F 0.5000 0.0000 0.0000
# Total moment, Bohr magnetons per cell: 0.99
# Volume, Å³ per atom: 14.29
# Crystal system: tetragonal


Q.
# PBE ScPNF2, optimized geometry
data_ScPNF2
_cell_length_a 4.4493
_cell_length_b 4.4493
_cell_length_c 3.3754
_cell_angle_alpha 90.00
_cell_angle_beta 90.00
_cell_angle_gamma 90.00
_space_group_name_H-M_alt 'P 1'
_space_group_IT_number 1
loop_
_space_group_symop_operation_xyz
'x,y,z'
loop_
_atom_site_label
_atom_site_type_symbol
_atom_site_fract_x
_atom_site_fract_y
_atom_site_fract_z
Sc1 Sc 0.5000 0.5000 0.5000
P1 P 0.0000 0.0000 0.0000
N1 N 0.0000 0.0000 0.5000
F1 F 0.0000 0.5000 0.0000
F2 F 0.5000 0.0000 0.0000
# Total moment, Bohr magnetons per cell: 0.00
# Volume, Å³ per atom: 13.36
# Crystal system: tetragonal


Stability verdict: P, ahead by 0.430 eV/atom